Entry 1:
VASP calculation (PBE) on a relaxed ReAgF5 crystal.

a b c (Å): 5.781 5.781 7.890
angles (deg): 72.84 72.84 76.13
Atoms (fractional coordinates):
Re  0.000  0.000  0.000
Re  0.000  0.000  0.500
Ag  0.514  0.486  0.750
Ag  0.486  0.514  0.250
F  0.293  0.155  0.883
F  0.318  0.786  0.514
F  0.155  0.293  0.383
F  0.927  0.073  0.750
F  0.214  0.682  0.986
F  0.786  0.318  0.014
F  0.073  0.927  0.250
F  0.845  0.707  0.617
F  0.682  0.214  0.486
F  0.707  0.845  0.117

Entry 2:
VASP calculation (PBE) on a relaxed Er4Tl2Ru crystal.

Results
Energy relative to the elements   -228 meV/atom

a b c (Å): 3.510 9.088 9.161
angles (deg): 137.81 90.00 90.00
Atoms (fractional coordinates):
Er  0.500  0.892  0.741
Er  0.000  0.438  0.195
Er  0.500  0.251  0.402
Er  0.000  0.705  0.948
Tl  0.500  0.309  0.806
Tl  0.500  0.834  0.337
Ru  0.000  0.071  0.071

Entry 3:
VASP calculation (PBE) on a relaxed Ca2PPd4 crystal.

Results
Energy relative to the elements   -520 meV/atom

a b c (Å): 4.555 4.555 8.103
angles (deg): 73.68 73.68 90.00
Atoms (fractional coordinates):
P  0.000  0.000  0.000
Ca  0.355  0.355  0.291
Ca  0.645  0.645  0.709
Pd  0.154  0.154  0.693
Pd  0.846  0.846  0.307
Pd  0.000  0.500  0.000
Pd  0.500  0.000  0.000

Number 1: M_tot 6.00 μB/cell, electronic total energy -5.22 eV per atom. Number 2: M_tot 0.00 μB/cell, electronic total energy -4.84 eV per atom. Number 3: M_tot 0.00 μB/cell, electronic total energy -4.83 eV per atom.